(1)
Computed, not measured: an optimized crystal structure of ScP2PtS at the PBE-GGA level of DFT.

Lattice parameters (Å, degrees): 4.604 4.604 4.921 90.00 90.00 90.00
Space group P4/mmm (No. 123)
Inequivalent atoms, fractional coordinates:
1 Sc 0.000 0.000 0.000
2 P 0.000 0.500 0.500
3 Pt 0.500 0.500 0.500
4 S 0.500 0.500 0.000

Total magnetization: 0.00 μB/f.u.
Uncorrected formation energy: 0.1555 eV/atom
Density: 5.32 Mg/m³
ΔE to the lowest computed polymorph: 0 meV per atom
Total DFT energy (no corrections): -5.3084 eV per atom


(2)
Computed, not measured: an optimized crystal structure of P2PtSeS at the PBE-GGA level of DFT.

Lattice parameters (Å, degrees): 4.628 4.628 4.874 90.00 90.00 90.00
Space group P4/mmm (No. 123)
Inequivalent atoms, fractional coordinates:
1 P 0.000 0.500 0.000
2 Pt 0.000 0.000 0.000
3 Se 0.500 0.500 0.500
4 S 0.000 0.000 0.500

Total magnetization: 0.00 μB/f.u.
Uncorrected formation energy: 0.7928 eV/atom
Density: 5.86 Mg/m³
ΔE to the lowest computed polymorph: 0 meV per atom
Total DFT energy (no corrections): -4.1017 eV per atom


(3)
Computed, not measured: an optimized crystal structure of SiPPtS2 at the PBE-GGA level of DFT.

Lattice parameters (Å, degrees): 4.364 4.364 4.553 90.00 90.00 90.00
Space group P4/mmm (No. 123)
Inequivalent atoms, fractional coordinates:
1 Si 0.000 0.000 0.000
2 P 0.000 0.000 0.500
3 Pt 0.500 0.500 0.500
4 S 0.000 0.500 0.000

Total magnetization: 0.00 μB/f.u.
Uncorrected formation energy: 0.7581 eV/atom
Density: 6.10 Mg/m³
ΔE to the lowest computed polymorph: 0 meV per atom
Total DFT energy (no corrections): -4.2677 eV per atom


(4)
Computed, not measured: an optimized crystal structure of Sm6P2PtS3 at the PBE-GGA level of DFT.

Lattice parameters (Å, degrees): 17.809 4.054 8.200 90.00 103.28 90.00
Space group C2/m (No. 12)
Inequivalent atoms, fractional coordinates:
1 Sm 0.001 0.000 0.252
2 Sm 0.169 0.500 0.090
3 Sm 0.169 0.500 0.580
4 P 0.167 0.000 0.334
5 Pt 0.000 0.500 0.000
6 S 0.000 0.500 0.500
7 S 0.168 0.000 0.833

Total magnetization: 0.00 μB/f.u.
Uncorrected formation energy: -1.7346 eV/atom
Density: 7.24 Mg/m³
Total DFT energy (no corrections): -6.5310 eV per atom


(5)
Computed, not measured: an optimized crystal structure of Sm4PPtS2 at the PBE-GGA level of DFT.

Lattice parameters (Å, degrees): 7.107 4.047 7.112 90.00 108.97 90.00
Space group P2/m (No. 10)
Inequivalent atoms, fractional coordinates:
1 Sm 0.244 0.000 0.248
2 Sm 0.248 0.500 0.752
3 P 0.000 0.500 0.000
4 Pt 0.500 0.000 0.000
5 S 0.000 0.000 0.500
6 S 0.500 0.500 0.500

Total magnetization: 0.00 μB/f.u.
Uncorrected formation energy: -1.6547 eV/atom
Density: 7.65 Mg/m³
Total DFT energy (no corrections): -6.4775 eV per atom


(6)
Computed, not measured: an optimized crystal structure of SnP2PtS at the PBE-GGA level of DFT.

Lattice parameters (Å, degrees): 4.606 4.606 5.201 90.00 90.00 90.00
Space group P4/mmm (No. 123)
Inequivalent atoms, fractional coordinates:
1 Sn 0.000 0.000 0.000
2 P 0.000 0.500 0.500
3 Pt 0.500 0.500 0.500
4 S 0.500 0.500 0.000

Total magnetization: 0.00 μB/f.u.
Uncorrected formation energy: 0.4688 eV/atom
Density: 6.14 Mg/m³
ΔE to the lowest computed polymorph: 0 meV per atom
Total DFT energy (no corrections): -4.5294 eV per atom


(7)
Computed, not measured: an optimized crystal structure of SnP2PtS at the PBE-GGA level of DFT.

Lattice parameters (Å, degrees): 4.982 4.982 4.795 90.00 90.00 90.00
Space group P4/mmm (No. 123)
Inequivalent atoms, fractional coordinates:
1 Sn 0.000 0.000 0.000
2 P 0.000 0.500 0.000
3 Pt 0.500 0.500 0.500
4 S 0.000 0.000 0.500

Total magnetization: 0.00 μB/f.u.
Uncorrected formation energy: 1.3982 eV/atom
Density: 5.69 Mg/m³
ΔE to the lowest computed polymorph: 929 meV per atom
Total DFT energy (no corrections): -3.6000 eV per atom


(8)
Computed, not measured: an optimized crystal structure of SrPPtS2 at the PBE-GGA level of DFT.

Lattice parameters (Å, degrees): 5.394 5.394 5.559 90.00 90.00 90.00
Space group P4/mmm (No. 123)
Inequivalent atoms, fractional coordinates:
1 Sr 0.000 0.000 0.000
2 P 0.000 0.000 0.500
3 Pt 0.500 0.500 0.500
4 S 0.000 0.500 0.000

Total magnetization: 2.31 μB/f.u.
Uncorrected formation energy: 1.3446 eV/atom
Density: 3.88 Mg/m³
ΔE to the lowest computed polymorph: 1830 meV per atom
Total DFT energy (no corrections): -2.9329 eV per atom


(9)
Computed, not measured: an optimized crystal structure of SrPPtS2 at the PBE-GGA level of DFT.

Lattice parameters (Å, degrees): 4.443 4.443 6.044 90.00 90.00 90.00
Space group P4/mmm (No. 123)
Inequivalent atoms, fractional coordinates:
1 Sr 0.000 0.000 0.000
2 P 0.000 0.000 0.500
3 Pt 0.500 0.500 0.000
4 S 0.000 0.500 0.500

Total magnetization: 0.51 μB/f.u.
Uncorrected formation energy: 0.2574 eV/atom
Density: 5.26 Mg/m³
ΔE to the lowest computed polymorph: 743 meV per atom
Total DFT energy (no corrections): -4.0201 eV per atom


(10)
Computed, not measured: an optimized crystal structure of SrP2PtS8 at the PBE-GGA level of DFT.

Lattice parameters (Å, degrees): 5.8460 5.8460 8.6627 90.00 90.00 120.00
Space group P-3 (No. 147)
Inequivalent atoms, fractional coordinates:
1 Sr 0.0000 0.0000 0.0000
2 P 0.3333 0.6667 0.7353
3 Pt 0.0000 0.0000 0.5000
4 S 0.0105 0.6860 0.3236
5 S 0.3333 0.6667 0.9669

Total magnetization: 0.00 μB/f.u.
Uncorrected formation energy: -0.4888 eV/atom
Density: 3.89 Mg/m³
Total DFT energy (no corrections): -4.7856 eV per atom


(11)
Computed, not measured: an optimized crystal structure of SrPPtS2 at the PBE-GGA level of DFT.

Lattice parameters (Å, degrees): 5.148 5.148 4.386 90.00 90.00 90.00
Space group P4/mmm (No. 123)
Inequivalent atoms, fractional coordinates:
1 Sr 0.000 0.000 0.000
2 P 0.500 0.500 0.000
3 Pt 0.500 0.500 0.500
4 S 0.000 0.500 0.500

Total magnetization: 0.00 μB/f.u.
Uncorrected formation energy: -0.4853 eV/atom
Density: 5.40 Mg/m³
ΔE to the lowest computed polymorph: 0 meV per atom
Total DFT energy (no corrections): -4.7627 eV per atom


(12)
Computed, not measured: an optimized crystal structure of SrP2PtS at the PBE-GGA level of DFT.

Lattice parameters (Å, degrees): 5.436 5.436 5.263 90.00 90.00 90.00
Space group P4/mmm (No. 123)
Inequivalent atoms, fractional coordinates:
1 Sr 0.000 0.000 0.000
2 P 0.000 0.500 0.000
3 Pt 0.500 0.500 0.500
4 S 0.000 0.000 0.500

Total magnetization: 0.00 μB/f.u.
Uncorrected formation energy: 1.6282 eV/atom
Density: 4.02 Mg/m³
ΔE to the lowest computed polymorph: 1869 meV per atom
Total DFT energy (no corrections): -2.9058 eV per atom


(13)
Computed, not measured: an optimized crystal structure of SrP2PtS at the PBE-GGA level of DFT.

Lattice parameters (Å, degrees): 4.635 4.635 5.357 90.00 90.00 90.00
Space group P4/mmm (No. 123)
Inequivalent atoms, fractional coordinates:
1 Sr 0.000 0.000 0.000
2 P 0.000 0.500 0.500
3 Pt 0.500 0.500 0.500
4 S 0.500 0.500 0.000

Total magnetization: 0.00 μB/f.u.
Uncorrected formation energy: -0.2411 eV/atom
Density: 5.44 Mg/m³
ΔE to the lowest computed polymorph: 0 meV per atom
Total DFT energy (no corrections): -4.7751 eV per atom


(14)
Computed, not measured: an optimized crystal structure of TaP2PtS at the PBE-GGA level of DFT.

Lattice parameters (Å, degrees): 4.823 4.823 4.604 90.00 90.00 90.00
Space group P4/mmm (No. 123)
Inequivalent atoms, fractional coordinates:
1 Ta 0.000 0.000 0.000
2 P 0.000 0.500 0.000
3 Pt 0.500 0.500 0.500
4 S 0.000 0.000 0.500

Total magnetization: 0.00 μB/f.u.
Uncorrected formation energy: 0.6583 eV/atom
Density: 7.29 Mg/m³
ΔE to the lowest computed polymorph: 0 meV per atom
Total DFT energy (no corrections): -5.9098 eV per atom